Entry from Alexandria via LeMat-Bulk: a relaxed Ca2MgSbBr crystal (GGA-PBE).

extended XYZ file:
```
5
Lattice="-4.197 -2.369 3.571 3.914 -2.260 3.101 0.132 4.924 3.423" Properties=species:S:1:pos:R:3 pbc="T T T"
Ca 0.066 2.462 1.711
Ca -2.098 -1.185 1.785
Sb 0.000 0.000 0.000
Br -0.075 0.147 5.047
Mg 1.957 -1.130 1.550
```

Output
formation energy (no corrections): -0.458 eV per atom
ρ: 2.578 g cm⁻³
total magnetization: 0.0 μB per cell


Entry from Alexandria via LeMat-Bulk: a relaxed Ce2TlGa crystal (GGA-PBE).

extended XYZ file:
```
4
Lattice="5.348 0.000 0.000 2.674 4.632 0.000 2.674 1.544 4.367" Properties=species:S:1:pos:R:3 pbc="T T T"
Tl 5.348 3.088 2.183
Ce 2.674 1.544 1.092
Ce 8.022 4.632 3.275
Ga 0.000 0.000 0.000
```

Output
energy relative to the elements: -0.2775 eV per atom
ρ: 8.510 g cm⁻³
total magnetization: 1.7 μB per cell
relative energy among the computed polymorphs: 0.32 eV per formula unit


Entry from Alexandria via LeMat-Bulk: a relaxed PmGdHgRu crystal (GGA-PBE).

extended XYZ file:
```
4
Lattice="5.117 0.000 0.000 2.558 4.431 0.000 2.558 1.477 4.178" Properties=species:S:1:pos:R:3 pbc="T T T"
Hg 2.558 1.477 1.044
Gd 5.117 2.954 2.089
Ru 7.675 4.431 3.133
Pm 0.000 0.000 0.000
```

Output
energy relative to the elements: -0.2929 eV per atom
ρ: 10.585 g cm⁻³
total magnetization: 7.1 μB per cell


Entry from Alexandria via LeMat-Bulk: a relaxed FeRe2Si crystal (GGA-PBE).

extended XYZ file:
```
4
Lattice="-6.844 -2.335 4.318 -6.034 -4.799 3.391 -4.934 -3.764 5.695" Properties=species:S:1:pos:R:3 pbc="T T T"
Re -8.904 -5.448 6.701
Re -0.002 -0.001 0.002
Fe -13.359 -8.174 10.053
Si -4.453 -2.725 3.351
```

Output
formation energy (no corrections): 0.065 eV per atom
ρ: 13.945 g cm⁻³
total magnetization: 1.6 μB per cell


Entry from Alexandria via LeMat-Bulk: a relaxed HfMnTlSe3 crystal (GGA-PBE).

extended XYZ file:
```
12
Lattice="-3.596 1.050 0.251 -1.122 -1.725 -8.870 -1.776 -7.448 5.726" Properties=species:S:1:pos:R:3 pbc="T T T"
Se -2.513 -6.169 3.850
Se -3.030 -7.057 0.159
Se -3.889 -3.532 1.190
Se -3.465 -1.067 -3.052
Se -2.606 -4.592 -4.083
Se -3.981 -1.955 -6.743
Tl -4.935 -6.261 -2.383
Tl -1.560 -1.863 -0.510
Hf -4.515 -5.898 2.122
Hf -1.979 -2.226 -5.015
Mn -1.982 -4.070 2.676
Mn -4.512 -4.053 -5.569
```

Output
formation energy (no corrections): -0.744 eV per atom
ρ: 7.526 g cm⁻³
total magnetization: 2.3 μB per cell